Density functional theory data (meta-GGA SCAN) for MnAgRu2 at its PBEsol-relaxed geometry.

Lattice parameters (Å, degrees): 4.318 4.318 4.318 60.00 60.00 60.00
Fractional positions:
Mn (0.000, 0.000, 0.000)
Ag (0.750, 0.750, 0.750)
Ru (0.250, 0.250, 0.250)
Ru (0.500, 0.500, 0.500)

Space group ... No. 216
Formation energy ... 354 meV/atom
V ... 56.9 Å³/cell